## w
MoAsSe2Br: relaxed, PBE.

abc: 5.1350 5.1350 5.0281
angles: 90.00 90.00 90.00
Closest atoms and distances in Å follow each position.
Atoms (fractional coordinates):
Mo 0.0000 0.0000 0.0000  8 Se 3.59, 4 Br 3.63
As 0.5000 0.5000 0.5000  2 Br 2.51, 4 Se 2.57
Se 0.0000 0.5000 0.5000  2 As 2.57
Se 0.5000 0.0000 0.5000  2 As 2.57
Br 0.5000 0.5000 0.0000  2 As 2.51

Properties
Space-group type = P4/mmm
D(E_F) = 2.95 states/eV per cell

## x
MoAsSe2Br: relaxed, PBE.

abc: 4.9412 4.9412 5.1486
angles: 90.00 90.00 90.00
Closest atoms and distances in Å follow each position.
Atoms (fractional coordinates):
Mo 0.0000 0.0000 0.0000  4 Se 2.47, 2 Br 2.57
As 0.5000 0.5000 0.5000  4 Br 3.49, 8 Se 3.57
Se 0.0000 0.5000 0.0000  2 Mo 2.47
Se 0.5000 0.0000 0.0000  2 Mo 2.47
Br 0.0000 0.0000 0.5000  2 Mo 2.57

Properties
Space-group type = P4/mmm
D(E_F) = 4.08 states/eV per cell

Name the most stable of them. x.

## w
MoAsSe2Br: relaxed, PBE.

abc: 4.8507 4.8507 5.1200
angles: 90.00 90.00 90.00
Closest atoms and distances in Å follow each position.
Atoms (fractional coordinates):
Mo 0.0000 0.0000 0.0000  4 Se 2.43, 2 As 2.56
As 0.0000 0.0000 0.5000  2 Mo 2.56
Se 0.0000 0.5000 0.0000  2 Mo 2.43
Se 0.5000 0.0000 0.0000  2 Mo 2.43
Br 0.5000 0.5000 0.5000  4 As 3.43, 8 Se 3.53

Properties
Space-group type = P4/mmm
D(E_F) = 3.74 states/eV per cell

## x
MoAsSe2Br: relaxed, PBE.

abc: 5.1294 5.1294 5.0504
angles: 90.00 90.00 90.00
Closest atoms and distances in Å follow each position.
Atoms (fractional coordinates):
Mo 0.0000 0.0000 0.0000  8 Se 3.60, 4 As 3.63
As 0.5000 0.5000 0.0000  2 Br 2.53
Se 0.0000 0.5000 0.5000  2 Br 2.56
Se 0.5000 0.0000 0.5000  2 Br 2.56
Br 0.5000 0.5000 0.5000  2 As 2.53, 4 Se 2.56

Properties
Space-group type = P4/mmm
D(E_F) = 5.75 states/eV per cell

Name the most stable of them. w.

## w
SiMoAsBr2: relaxed, PBE.

abc: 5.1881 5.1881 4.9615
angles: 90.00 90.00 90.00
Closest atoms and distances in Å follow each position.
Atoms (fractional coordinates):
Si 0.0000 0.0000 0.0000  8 Br 3.59, 4 As 3.67
Mo 0.5000 0.5000 0.5000  2 As 2.48, 4 Br 2.59
As 0.5000 0.5000 0.0000  2 Mo 2.48
Br 0.0000 0.5000 0.5000  2 Mo 2.59
Br 0.5000 0.0000 0.5000  2 Mo 2.59

Properties
Space-group type = P4/mmm
D(E_F) = 3.57 states/eV per cell

## x
SiMoAsBr2: relaxed, PBE.

abc: 4.9531 4.9531 5.1376
angles: 90.00 90.00 90.00
Closest atoms and distances in Å follow each position.
Atoms (fractional coordinates):
Si 0.0000 0.0000 0.0000  4 Br 2.48, 2 As 2.57
Mo 0.5000 0.5000 0.5000  4 As 3.50, 8 Br 3.57
As 0.0000 0.0000 0.5000  2 Si 2.57
Br 0.0000 0.5000 0.0000  2 Si 2.48
Br 0.5000 0.0000 0.0000  2 Si 2.48

Properties
Space-group type = P4/mmm
D(E_F) = 3.63 states/eV per cell

Name the most stable of them. w.

## w
TcMoAsBr2: relaxed, PBE.

abc: 5.2060 5.2060 4.9865
angles: 90.00 90.00 90.00
Closest atoms and distances in Å follow each position.
Atoms (fractional coordinates):
Tc 0.0000 0.0000 0.0000  8 Br 3.60, 4 As 3.68
Mo 0.5000 0.5000 0.5000  2 As 2.49, 4 Br 2.60
As 0.5000 0.5000 0.0000  2 Mo 2.49
Br 0.0000 0.5000 0.5000  2 Mo 2.60
Br 0.5000 0.0000 0.5000  2 Mo 2.60

Properties
Space-group type = P4/mmm
D(E_F) = 3.81 states/eV per cell

## x
TcMoAsBr2: relaxed, PBE.

abc: 5.2225 5.2225 4.7596
angles: 90.00 90.00 90.00
Closest atoms and distances in Å follow each position.
Atoms (fractional coordinates):
Tc 0.0000 0.0000 0.0000  2 As 2.38, 4 Br 2.61
Mo 0.5000 0.5000 0.5000  8 Br 3.53, 4 As 3.69
As 0.0000 0.0000 0.5000  2 Tc 2.38
Br 0.0000 0.5000 0.0000  2 Tc 2.61
Br 0.5000 0.0000 0.0000  2 Tc 2.61

Properties
Space-group type = P4/mmm
D(E_F) = 5.60 states/eV per cell

Name the most stable of them. x.

## w
VMoAsBr2: relaxed, PBE.

abc: 5.0366 5.0366 4.9480
angles: 90.00 90.00 90.00
Closest atoms and distances in Å follow each position.
Atoms (fractional coordinates):
V 0.0000 0.0000 0.0000  2 As 2.47, 4 Br 2.52
Mo 0.5000 0.5000 0.5000  8 Br 3.53, 4 As 3.56
As 0.0000 0.0000 0.5000  2 V 2.47
Br 0.0000 0.5000 0.0000  2 V 2.52
Br 0.5000 0.0000 0.0000  2 V 2.52

Properties
Space-group type = P4/mmm
D(E_F) = 3.07 states/eV per cell

## x
VMoAsBr2: relaxed, PBE.

abc: 5.2293 5.2293 4.8976
angles: 90.00 90.00 90.00
Closest atoms and distances in Å follow each position.
Atoms (fractional coordinates):
V 0.0000 0.0000 0.0000  8 Br 3.58, 4 As 3.70
Mo 0.5000 0.5000 0.5000  2 As 2.45, 4 Br 2.61
As 0.5000 0.5000 0.0000  2 Mo 2.45
Br 0.0000 0.5000 0.5000  2 Mo 2.61
Br 0.5000 0.0000 0.5000  2 Mo 2.61

Properties
Space-group type = P4/mmm
D(E_F) = 9.43 states/eV per cell

Name the most stable of them. w.

## w
MoAs2WBr: relaxed, PBE.

abc: 4.8536 4.8536 5.3525
angles: 90.00 90.00 90.00
Closest atoms and distances in Å follow each position.
Atoms (fractional coordinates):
Mo 0.0000 0.0000 0.0000  4 Br 3.43, 8 As 3.61
As 0.0000 0.5000 0.5000  2 W 2.43
As 0.5000 0.0000 0.5000  2 W 2.43
W 0.5000 0.5000 0.5000  4 As 2.43, 2 Br 2.68
Br 0.5000 0.5000 0.0000  2 W 2.68

Properties
Space-group type = P4/mmm
D(E_F) = 3.01 states/eV per cell

## x
MoAs2WBr: relaxed, PBE.

abc: 4.8777 4.8777 5.1150
angles: 90.00 90.00 90.00
Closest atoms and distances in Å follow each position.
Atoms (fractional coordinates):
Mo 0.0000 0.0000 0.0000  4 As 2.44, 2 Br 2.56
As 0.0000 0.5000 0.0000  2 Mo 2.44
As 0.5000 0.0000 0.0000  2 Mo 2.44
W 0.5000 0.5000 0.5000  4 Br 3.45, 8 As 3.53
Br 0.0000 0.0000 0.5000  2 Mo 2.56

Properties
Space-group type = P4/mmm
D(E_F) = 3.48 states/eV per cell

Name the most stable of them. w.